Below is LiSc2MoO6 after structural relaxation, with properties calculated at the GGA+U level.

Values from the calculation:
N(E_F) = 0.000 states/eV/atom
V = 11.8 Å³/atom
Total magnetization = 1.0 μB/f.u.
Final energy = -7.78 eV per atom

Cell and atoms, written as extended XYZ:
```
10
Lattice="5.272 0.000 0.000 2.618 4.636 0.000 0.036 3.022 4.831" Properties=species:S:1:pos:R:3 pbc="T T T"
Li 0.000 0.000 0.000
Sc 2.681 4.553 3.941
Sc 5.321 3.131 1.548
Mo 2.692 1.524 2.028
O 1.878 2.870 0.659
O 3.659 6.220 2.936
O 4.595 4.800 0.620
O 3.690 2.993 2.976
O 4.195 1.609 0.684
O 6.153 4.594 2.940
```